First-principles (PBE) data for a geometry-optimized Cd4O3 structure, as listed in Alexandria via LeMat-Bulk.

Unit cell a=3.3699 b=3.3699 c=32.3928 alpha=90.00 beta=90.00 gamma=120.00
Last column: nearest neighbours and their distance in Å.
Space group R-3m (No. 166, hexagonal axes)
Unique sites:
Cd 0.0000 0.0000 0.1240  6 O 2.39-2.40
Cd 0.0000 0.0000 0.3705  3 O 2.40
O 0.0000 0.0000 0.2530  6 Cd 2.40
O 0.0000 0.0000 0.5000  6 Cd 2.39

Output
For the density of states at the Fermi level, the calculation gives 0.29 states/eV/f.u. The total energy comes out at -3.4844 eV/atom.


First-principles (PBE) data for a geometry-optimized Cd6O5 structure, as listed in Alexandria via LeMat-Bulk.

Unit cell a=5.8397 b=10.0904 c=5.8444 alpha=90.00 beta=109.62 gamma=90.00
Last column: nearest neighbours and their distance in Å.
Space group C2/m (No. 12)
Unique sites:
Cd 0.2420 0.0000 0.2549  5 O 2.39-2.45
Cd 0.2437 0.1620 0.7458  5 O 2.37-2.41
O 0.0000 0.1699 0.0000  6 Cd 2.38-2.41
O 0.0000 0.3332 0.5000  6 Cd 2.39-2.40
O 0.0000 0.5000 0.0000  6 Cd 2.37-2.45

Output
For the density of states at the Fermi level, the calculation gives 0.34 states/eV/f.u. The total energy comes out at -3.5967 eV/atom.


First-principles (PBE) data for a geometry-optimized CdOsO6 structure, as listed in Alexandria via LeMat-Bulk.

Unit cell a=8.2733 b=8.2733 c=8.2733 alpha=90.00 beta=90.00 gamma=90.00
Last column: nearest neighbours and their distance in Å.
Space group Fm-3m (No. 225)
Unique sites:
Cd 0.0000 0.0000 0.0000  6 O 2.29
Os 0.0000 0.0000 0.5000  6 O 1.85
O 0.0000 0.0000 0.2769  1 Os 1.85

Output
For the density of states at the Fermi level, the calculation gives 6.79 states/eV/f.u. The total energy comes out at -5.6615 eV/atom.


ΔE_f (raw), record by record: -0.84, -0.84, -0.42 eV per atom